VASP calculation (meta-GGA SCAN) on a crystal of SrCoCl2 relaxed with PBEsol.

Output
The crystal system is orthorhombic. The value obtained for the distance to the lowest polymorph of the same formula is 0.000 eV per atom. Its space-group type is Immm. The value obtained for the magnetic moment is 0.2499 μB per atom.

Cell lengths 3.667, 5.097, 5.097 Å; angles 63.65, 68.92, 68.92 degrees
Last column: magnetic moment on the atom in μB.
Sites, in units of the cell vectors:
Co  0.500  0.000  0.000  1.32
Cl  0.813  0.187  0.187  0.01
Cl  0.187  0.813  0.813  0.01
Sr  0.000  0.500  0.500  -0.10

***

VASP calculation (meta-GGA SCAN) on a crystal of Zn2AgH relaxed with PBEsol.

Output
The crystal system is tetragonal. Its space-group type is I-42d. The calculation puts the total energy at -121.354 eV for the cell shown. The value obtained for the magnetic moment is 0.0000 μB per atom.

Cell lengths 5.129, 5.129, 5.129 Å; angles 105.28, 111.61, 111.61 degrees
Sites, in units of the cell vectors:
Zn  0.898  0.523  0.125
H  0.500  0.250  0.750
Zn  0.602  0.375  0.477
H  0.000  0.500  0.500
Ag  0.500  0.750  0.250
Zn  0.398  0.875  0.773
Ag  0.000  0.000  0.000
Zn  0.102  0.227  0.625

***

VASP calculation (meta-GGA SCAN) on a crystal of Re2TcPt relaxed with PBEsol.

Output
The crystal system is tetragonal. The value obtained for the distance to the lowest polymorph of the same formula is 0.000 eV per atom. Its space-group type is I4/mmm. The value obtained for the magnetic moment is 0.0000 μB per atom. For the energy of formation, the calculation gives -0.54 eV per formula unit.

Cell lengths 3.870, 3.870, 4.719 Å; angles 114.21, 114.21, 90.00 degrees
Sites, in units of the cell vectors:
Pt  0.500  0.500  0.000
Re  0.250  0.750  0.500
Re  0.750  0.250  0.500
Tc  0.000  0.000  0.000

***

VASP calculation (meta-GGA SCAN) on a crystal of Ca2PPt2 relaxed with PBEsol.

Output
The crystal system is tetragonal. The value obtained for the distance to the lowest polymorph of the same formula is 0.329 eV per atom. Its space-group type is I4/mmm. The value obtained for the magnetic moment is 0.0000 μB per atom. For the energy of formation, the calculation gives -4.07 eV per formula unit.

Cell lengths 3.640, 3.640, 8.484 Å; angles 102.39, 102.39, 90.00 degrees
Sites, in units of the cell vectors:
Ca  0.397  0.397  0.795
Pt  0.250  0.750  0.500
Pt  0.750  0.250  0.500
P  0.000  0.000  0.000
Ca  0.603  0.603  0.205

***

VASP calculation (meta-GGA SCAN) on a crystal of Co3BrN relaxed with PBEsol.

Output
The crystal system is cubic. Its space-group type is Pm-3m. The calculation puts the total energy at -70.292 eV for the cell shown. The value obtained for the magnetic moment is 1.4000 μB per atom.

Cell lengths 4.321, 4.321, 4.321 Å; angles 90.00, 90.00, 90.00 degrees
Last column: magnetic moment on the atom in μB.
Sites, in units of the cell vectors:
Co  0.000  0.500  0.000  1.79
N  0.500  0.500  0.500  1.29
Co  0.500  0.000  0.000  1.79
Co  0.000  0.000  0.500  1.79
Br  0.000  0.000  0.000  0.02

***

VASP calculation (meta-GGA SCAN) on a crystal of ReTePbN2 relaxed with PBEsol.

Output
The crystal system is tetragonal. Its space-group type is P4/mmm. The calculation puts the total energy at -199.415 eV for the cell shown. The value obtained for the magnetic moment is 0.0000 μB per atom.

Cell lengths 4.029, 4.029, 5.516 Å; angles 90.00, 90.00, 90.00 degrees
Sites, in units of the cell vectors:
Te  0.000  0.000  0.500
Pb  0.500  0.500  0.500
Re  0.000  0.000  0.000
N  0.000  0.500  0.000
N  0.500  0.000  0.000

***

VASP calculation (meta-GGA SCAN) on a crystal of Ca3MgCu3 relaxed with PBEsol.

Output
The crystal system is monoclinic. The value obtained for the distance to the lowest polymorph of the same formula is 0.000 eV per atom. Its space-group type is P2_1/m. The value obtained for the magnetic moment is 0.0027 μB per atom. For the energy of formation, the calculation gives -0.91 eV per formula unit.

Cell lengths 4.182, 8.713, 9.874 Å; angles 111.25, 90.00, 90.00 degrees
Sites, in units of the cell vectors:
Ca  0.250  0.810  0.630
Cu  0.250  0.447  0.528
Ca  0.750  0.535  0.763
Ca  0.750  0.175  0.918
Cu  0.750  0.027  0.579
Mg  0.750  0.775  0.335
Cu  0.750  0.555  0.062
Cu  0.750  0.553  0.472
Mg  0.250  0.225  0.665
Ca  0.750  0.190  0.370
Ca  0.250  0.825  0.082
Ca  0.250  0.465  0.237
Cu  0.250  0.445  0.938
Cu  0.250  0.973  0.421

***

VASP calculation (meta-GGA SCAN) on a crystal of YC2Se relaxed with PBEsol.

Output
The crystal system is tetragonal. Its space-group type is I-42d. The calculation puts the total energy at -129.160 eV for the cell shown. The value obtained for the magnetic moment is 0.0000 μB per atom.

Cell lengths 5.377, 5.377, 5.377 Å; angles 82.52, 64.22, 115.78 degrees
Sites, in units of the cell vectors:
Se  0.500  0.750  0.750
Y  0.000  0.000  0.000
Se  0.000  0.500  0.500
C  0.061  0.625  0.814
C  0.939  0.125  0.436
C  0.561  0.436  0.625
Y  0.500  0.250  0.250
C  0.439  0.814  0.125

***

VASP calculation (meta-GGA SCAN) on a crystal of Y2AsSe relaxed with PBEsol.

Output
The crystal system is tetragonal. The value obtained for the distance to the lowest polymorph of the same formula is 0.010 eV per atom. Its space-group type is P4/mmm. The value obtained for the magnetic moment is 0.0000 μB per atom.

Cell lengths 4.044, 4.044, 5.702 Å; angles 90.00, 90.00, 90.00 degrees
Sites, in units of the cell vectors:
Y  0.500  0.500  0.500
Se  0.000  0.000  0.500
As  0.500  0.500  0.000
Y  0.000  0.000  0.000

***

VASP calculation (meta-GGA SCAN) on a crystal of Sr3MgIr relaxed with PBEsol.

Output
The crystal system is cubic. Its space-group type is Pm-3m. The value obtained for the magnetic moment is 0.0561 μB per atom. For the energy of formation, the calculation gives 5.82 eV per formula unit.

Cell lengths 5.845, 5.845, 5.845 Å; angles 90.00, 90.00, 90.00 degrees
Last column: magnetic moment on the atom in μB.
Sites, in units of the cell vectors:
Sr  0.500  0.000  0.000  -0.02
Ir  0.500  0.500  0.500  0.54
Mg  0.000  0.000  0.000  0.00
Sr  0.000  0.000  0.500  -0.02
Sr  0.000  0.500  0.000  -0.02

***

VASP calculation (meta-GGA SCAN) on a crystal of ScGe relaxed with PBEsol.

Output
The crystal system is orthorhombic. Its space-group type is Cmcm. The value obtained for the magnetic moment is 0.0001 μB per atom. For the energy of formation, the calculation gives -1.81 eV per formula unit.

Cell lengths 3.738, 3.971, 5.380 Å; angles 68.34, 90.00, 90.00 degrees
Sites, in units of the cell vectors:
Ge  0.250  0.590  0.821
Sc  0.250  0.863  0.273
Ge  0.750  0.410  0.179
Sc  0.750  0.137  0.727

***

VASP calculation (meta-GGA SCAN) on a crystal of BaZr2IrOs relaxed with PBEsol.

Output
The crystal system is tetragonal. Its space-group type is P4/mmm. The value obtained for the magnetic moment is 0.0138 μB per atom. For the energy of formation, the calculation gives 13.57 eV per formula unit.

Cell lengths 4.795, 5.059, 5.059 Å; angles 90.00, 90.00, 90.00 degrees
Last column: magnetic moment on the atom in μB.
Sites, in units of the cell vectors:
Zr  0.000  0.000  0.500  -0.04
Zr  0.000  0.500  0.000  -0.04
Ba  0.000  0.000  0.000  -0.01
Os  0.500  0.500  0.500  0.20
Ir  0.500  0.000  0.000  -0.05